Entry 1:
Material: Ce2SnI
Method: DFT, PBE
State: optimized geometry

Cell lengths 3.7992, 3.7992, 8.1940 Å; angles 90.00, 90.00, 90.00 degrees
Last column: magnetic moment on the atom in μB.
Atoms (fractional coordinates):
1 I 0.5000 0.5000 0.5000  -0.02
2 Sn 0.5000 0.5000 0.0000  -0.02
3 Ce 0.0000 0.0000 0.7650  1.13
4 Ce 0.0000 0.0000 0.2350  1.13

Results
The formation energy from raw total energies comes out at -670 meV per atom. As for the crystal system: tetragonal. The value obtained for the energy above the lowest structure with this stoichiometry is 0.0543 eV/atom.

***

Entry 2:
Material: CeSnI
Method: DFT, PBE
State: optimized geometry

Cell lengths 7.2385, 6.3276, 7.3392 Å; angles 129.32, 95.36, 55.12 degrees
Last column: magnetic moment on the atom in μB.
Atoms (fractional coordinates):
1 Sn 0.2708 0.5164 0.0401  -0.02
2 Sn 0.1383 0.2816 0.5403  -0.02
3 Ce 0.7304 0.8195 0.4807  0.84
4 Ce 0.4604 0.8594 0.9807  0.84
5 I 0.6082 0.3092 0.3790  -0.02
6 I 0.9297 0.1663 0.8789  -0.02

Results
The formation energy from raw total energies comes out at -574 meV per atom. As for the crystal system: monoclinic.